A relaxed SrPm6O8 crystal, computed with PBE-GGA.

Summary:
* formation energy without anion corrections: -2.7282 eV/atom
* final energy: -7.3849 eV/atom
* SG: R-3, No. 148
* magnetic moment: 0.0 Bohr magnetons per cell

Geometry as POSCAR:
```
SrPm6O8
1.0
3.5937 2.0748 5.2738
-3.5937 2.0748 5.2738
0.0000 -4.1496 5.2738
Sr Pm O
1 6 8
Cartesian
0.0000 0.0000 0.0000
-1.4269 -1.7108 6.6729
-2.1950 0.3803 9.1484
-0.7682 2.0911 6.6729
0.7682 -2.0911 9.1484
2.1950 -0.3803 6.6729
1.4269 1.7108 9.1484
-2.5405 0.3882 6.7077
-1.6064 -2.0060 9.1136
0.0000 0.0000 5.1229
0.9341 -2.3942 6.7077
-0.9341 2.3942 9.1137
0.0000 0.0000 10.6984
1.6064 2.0060 6.7077
2.5405 -0.3882 9.1137
```

=====

A relaxed Sr5PmO6 crystal, computed with PBE-GGA.

Summary:
* formation energy without anion corrections: -2.7192 eV/atom
* final energy: -6.2950 eV/atom
* SG: C2/m, No. 12
* magnetic moment: 0.0 Bohr magnetons per cell

Geometry as POSCAR:
```
Sr5PmO6
1.0
3.1603 -5.4743 0.0000
3.1603 5.4743 0.0000
-2.1047 0.0000 5.9586
Sr Pm O
5 1 6
Cartesian
0.0000 0.0000 0.0000
2.1080 3.6504 2.9793
3.1603 1.8335 0.0000
3.1603 -1.8335 0.0000
2.1080 -3.6504 2.9793
2.1080 0.0000 2.9793
1.1044 1.7360 1.5463
0.1056 0.0000 4.4145
1.1044 -1.7360 1.5463
3.1115 1.7360 4.4123
4.1103 0.0000 1.5441
3.1115 -1.7360 4.4123
```

=====

A relaxed SrPmO crystal, computed with PBE-GGA.

Summary:
* formation energy without anion corrections: -1.5968 eV/atom
* excess energy over the best structure of this formula in the dataset: 0.0 kJ/mol of formula units
* final energy: -5.3936 eV/atom
* SG: P-6m2, No. 187
* magnetic moment: 0.0 Bohr magnetons per cell

Geometry as POSCAR:
```
SrPmO
1.0
3.9440 0.0000 0.0000
-1.9720 3.4156 0.0000
0.0000 0.0000 7.3435
Sr Pm O
1 1 1
Cartesian
0.0000 0.0000 0.0000
1.9720 1.1385 3.6717
0.0000 2.2771 3.6717
```

=====

A relaxed Sr2PmO3 crystal, computed with PBE-GGA.

Summary:
* formation energy without anion corrections: -2.7038 eV/atom
* final energy: -6.5353 eV/atom
* SG: Immm, No. 71
* magnetic moment: 0.0 Bohr magnetons per cell

Geometry as POSCAR:
```
Sr2PmO3
1.0
-1.8058 2.5548 5.4536
1.8058 -2.5548 5.4536
1.8058 2.5548 -5.4536
Sr Pm O
2 1 3
Cartesian
0.0000 0.0000 1.8298
0.0000 0.0000 9.0773
0.0000 0.0000 5.4536
1.8058 0.0000 0.0000
1.8058 0.0000 3.7711
0.0000 2.5548 1.6825
```

=====

A relaxed Sr2PmO crystal, computed with PBE-GGA.

Summary:
* formation energy without anion corrections: -1.0886 eV/atom
* final energy: -4.3567 eV/atom
* SG: R-3m, No. 166
* magnetic moment: 0.0 Bohr magnetons per cell

Geometry as POSCAR:
```
Sr2PmO
1.0
1.8380 1.0612 10.3074
-1.8380 1.0612 10.3074
0.0000 -2.1224 10.3074
Sr Pm O
2 1 1
Cartesian
0.0000 0.0000 3.6446
0.0000 0.0000 27.2777
0.0000 0.0000 0.0000
0.0000 0.0000 15.4612
```

=====

A relaxed SrPm2O crystal, computed with PBE-GGA.

Summary:
* formation energy without anion corrections: -1.1391 eV/atom
* final energy: -5.1744 eV/atom
* SG: R-3m, No. 166
* magnetic moment: 0.0 Bohr magnetons per cell

Geometry as POSCAR:
```
SrPm2O
1.0
1.8582 1.0728 9.6865
-1.8582 1.0728 9.6865
0.0000 -2.1457 9.6865
Sr Pm O
1 2 1
Cartesian
0.0000 0.0000 0.0000
0.0000 0.0000 3.5378
0.0000 0.0000 25.5218
0.0000 0.0000 14.5298
```

=====

A relaxed Sr2PmTaO6 crystal, computed with PBE-GGA.

Summary:
* formation energy without anion corrections: -3.1190 eV/atom
* final energy: -8.0906 eV/atom
* SG: P2_1/c, No. 14
* magnetic moment: 0.0 Bohr magnetons per cell

Geometry as POSCAR:
```
Sr2PmTaO6
1.0
5.8955 0.0000 0.0000
0.0000 6.0360 0.0000
-5.8535 0.0000 8.4130
Sr Pm Ta O
4 2 2 12
Cartesian
-0.0569 0.2584 2.1155
-2.9836 2.7596 6.3220
3.0256 3.2764 2.0910
0.0989 5.7776 6.2975
2.9477 0.0000 0.0000
0.0210 3.0180 4.2065
-2.9267 0.0000 4.2065
0.0000 3.0180 0.0000
-4.7627 1.3681 7.9660
-1.8360 1.6499 3.7595
-4.2401 4.1607 8.0295
-1.3133 4.8933 3.8230
-2.3734 0.2004 6.1392
0.5534 2.8176 1.9327
-0.5114 3.2184 6.4803
2.4154 5.8356 2.2738
1.3553 1.1427 4.5900
4.2821 1.8753 0.3835
1.8780 4.3861 4.6535
4.8047 4.6679 0.4470
```

=====

A relaxed SrPm2TcO8 crystal, computed with PBE-GGA.

Summary:
* formation energy without anion corrections: -2.3106 eV/atom
* final energy: -7.4118 eV/atom
* SG: P-1, No. 2
* magnetic moment: 0.1 Bohr magnetons per cell

Geometry as POSCAR:
```
SrPm2TcO8
1.0
4.4319 0.0000 0.0000
0.0959 5.2164 0.0000
2.0355 -0.0246 6.8292
Sr Pm Tc O
1 2 1 8
Cartesian
0.0000 0.0000 0.0000
2.3436 2.6412 1.9708
4.2196 2.5506 4.8584
1.0177 -0.0123 3.4146
2.0321 1.4602 4.1163
2.2694 3.9774 4.2146
1.0844 2.6051 0.0341
2.1201 5.1722 1.7507
4.4431 0.0196 5.0785
5.4788 2.5867 6.7951
4.2938 1.2144 2.6146
4.5311 3.7316 2.7129
```